{
  "formula": "LiCo2HgF8",
  "functional": "GGA+U",
  "state": "relaxed",
  "lattice": [[4.931, 0.000, 0.000], [0.000, 6.415, 0.000], [-0.309, 0.000, 4.940]],
  "species": ["Li", "Co", "Co", "Hg", "F", "F", "F", "F", "F", "F", "F", "F"],
  "fractional_positions": [[0.000, 0.000, 0.000], [0.500, 0.239, 0.500], [0.500, 0.761, 0.500], [0.000, 0.500, 0.000], [0.215, 0.226, 0.213], [0.215, 0.774, 0.213], [0.318, 0.000, 0.680], [0.329, 0.500, 0.668], [0.671, 0.500, 0.332], [0.682, 0.000, 0.320], [0.785, 0.226, 0.787], [0.785, 0.774, 0.787]],
  "total_energy_ha_per_atom": -0.158,
  "dos_at_fermi_per_ev_cell": 5.78
}